First-principles (GGA-PBE) data for crystalline LiPmErAu at its relaxed geometry, as listed in Alexandria.

abc: 5.1516 5.1516 5.1516
angles: 60.00 60.00 60.00
Fractional coordinates of all 4 atoms:
Li 0.0000 0.0000 0.0000
Pm 0.2500 0.2500 0.2500
Er 0.7500 0.7500 0.7500
Au 0.5000 0.5000 0.5000

- Crystal system: cubic
- Total energy: -16.0 eV per formula unit



First-principles (GGA-PBE) data for crystalline LiPmEr2Au4 at its relaxed geometry, as listed in Alexandria.

abc: 8.7921 8.7921 8.7921
angles: 32.80 32.80 32.80
Fractional coordinates of all 8 atoms:
Li 0.0000 0.0000 0.0000
Pm 0.5000 0.5000 0.5000
Er 0.2597 0.2597 0.2597
Er 0.7403 0.7403 0.7403
Au 0.1132 0.1132 0.1132
Au 0.3780 0.3780 0.3780
Au 0.6220 0.6220 0.6220
Au 0.8868 0.8868 0.8868

- Crystal system: trigonal
- Total energy: -35.0 eV per formula unit



First-principles (GGA-PBE) data for crystalline LiPrErAu at its relaxed geometry, as listed in Alexandria.

abc: 5.1950 5.1950 5.1950
angles: 60.00 60.00 60.00
Fractional coordinates of all 4 atoms:
Li 0.0000 0.0000 0.0000
Pr 0.7500 0.7500 0.7500
Er 0.2500 0.2500 0.2500
Au 0.5000 0.5000 0.5000

- Crystal system: cubic
- Total energy: -16.0 eV per formula unit



First-principles (GGA-PBE) data for crystalline LiPrEr2Au4 at its relaxed geometry, as listed in Alexandria.

abc: 8.9412 8.9412 8.9412
angles: 32.23 32.23 32.23
Fractional coordinates of all 8 atoms:
Li 0.0000 0.0000 0.0000
Pr 0.5000 0.5000 0.5000
Er 0.2620 0.2620 0.2620
Er 0.7380 0.7380 0.7380
Au 0.1088 0.1088 0.1088
Au 0.3780 0.3780 0.3780
Au 0.6220 0.6220 0.6220
Au 0.8912 0.8912 0.8912

- Crystal system: trigonal
- Total energy: -34.9 eV per formula unit



First-principles (GGA-PBE) data for crystalline LiErPtAu at its relaxed geometry, as listed in Alexandria.

abc: 4.7423 4.7423 4.7423
angles: 60.00 60.00 60.00
Fractional coordinates of all 4 atoms:
Li 0.0000 0.0000 0.0000
Er 0.5000 0.5000 0.5000
Pt 0.2500 0.2500 0.2500
Au 0.7500 0.7500 0.7500

- Crystal system: cubic
- Total energy: -19.1 eV per formula unit



First-principles (GGA-PBE) data for crystalline LiErRhAu at its relaxed geometry, as listed in Alexandria.

abc: 4.6805 4.6805 4.6805
angles: 60.00 60.00 60.00
Fractional coordinates of all 4 atoms:
Li 0.0000 0.0000 0.0000
Er 0.5000 0.5000 0.5000
Rh 0.2500 0.2500 0.2500
Au 0.7500 0.7500 0.7500

- Crystal system: cubic
- Total energy: -19.5 eV per formula unit



First-principles (GGA-PBE) data for crystalline LiErScAu at its relaxed geometry, as listed in Alexandria.

abc: 4.9272 4.9272 4.9272
angles: 60.00 60.00 60.00
Fractional coordinates of all 4 atoms:
Li 0.0000 0.0000 0.0000
Er 0.7500 0.7500 0.7500
Sc 0.2500 0.2500 0.2500
Au 0.5000 0.5000 0.5000

- Crystal system: cubic
- Total energy: -17.7 eV per formula unit



First-principles (GGA-PBE) data for crystalline Li2ErScAu4 at its relaxed geometry, as listed in Alexandria.

abc: 8.5367 8.5367 8.5367
angles: 31.53 31.53 31.53
Fractional coordinates of all 8 atoms:
Li 0.2466 0.2466 0.2466
Li 0.7534 0.7534 0.7534
Er 0.0000 0.0000 0.0000
Sc 0.5000 0.5000 0.5000
Au 0.1239 0.1239 0.1239
Au 0.3843 0.3843 0.3843
Au 0.6157 0.6157 0.6157
Au 0.8761 0.8761 0.8761

- Crystal system: trigonal
- Total energy: -33.5 eV per formula unit



First-principles (GGA-PBE) data for crystalline LiErSiAu at its relaxed geometry, as listed in Alexandria.

abc: 4.7555 4.7555 4.7555
angles: 60.00 60.00 60.00
Fractional coordinates of all 4 atoms:
Li 0.0000 0.0000 0.0000
Er 0.5000 0.5000 0.5000
Si 0.2500 0.2500 0.2500
Au 0.7500 0.7500 0.7500

- Crystal system: cubic
- E_form (uncorrected): -542 meV per atom
- Total energy: -17.3 eV per formula unit



First-principles (GGA-PBE) data for crystalline Li2ErSi2Au2 at its relaxed geometry, as listed in Alexandria.

abc: 8.2631 8.2631 8.2631
angles: 29.75 29.75 29.75
Fractional coordinates of all 7 atoms:
Li 0.1411 0.1411 0.1411
Li 0.8589 0.8589 0.8589
Er 0.0000 0.0000 0.0000
Si 0.2561 0.2561 0.2561
Si 0.7439 0.7439 0.7439
Au 0.4236 0.4236 0.4236
Au 0.5764 0.5764 0.5764

- Crystal system: trigonal
- E_form (uncorrected): -585 meV per atom
- Total energy: -29.9 eV per formula unit



First-principles (GGA-PBE) data for crystalline LiSmErAu at its relaxed geometry, as listed in Alexandria.

abc: 5.1363 5.1363 5.1363
angles: 60.00 60.00 60.00
Fractional coordinates of all 4 atoms:
Li 0.0000 0.0000 0.0000
Sm 0.2500 0.2500 0.2500
Er 0.7500 0.7500 0.7500
Au 0.5000 0.5000 0.5000

- Crystal system: cubic
- Total energy: -16.0 eV per formula unit



First-principles (GGA-PBE) data for crystalline Li2SmErAu4 at its relaxed geometry, as listed in Alexandria.

abc: 8.3014 8.3014 8.3014
angles: 34.63 34.63 34.63
Fractional coordinates of all 8 atoms:
Li 0.2502 0.2502 0.2502
Li 0.7498 0.7498 0.7498
Sm 0.5000 0.5000 0.5000
Er 0.0000 0.0000 0.0000
Au 0.1258 0.1258 0.1258
Au 0.3692 0.3692 0.3692
Au 0.6308 0.6308 0.6308
Au 0.8742 0.8742 0.8742

- Crystal system: trigonal
- Total energy: -31.8 eV per formula unit



First-principles (GGA-PBE) data for crystalline LiSmEr2Au4 at its relaxed geometry, as listed in Alexandria.

abc: 8.7457 8.7457 8.7457
angles: 32.99 32.99 32.99
Fractional coordinates of all 8 atoms:
Li 0.0000 0.0000 0.0000
Sm 0.5000 0.5000 0.5000
Er 0.2589 0.2589 0.2589
Er 0.7411 0.7411 0.7411
Au 0.1150 0.1150 0.1150
Au 0.3780 0.3780 0.3780
Au 0.6220 0.6220 0.6220
Au 0.8850 0.8850 0.8850

- Crystal system: trigonal
- Total energy: -35.0 eV per formula unit



First-principles (GGA-PBE) data for crystalline SrLiEr2Au4 at its relaxed geometry, as listed in Alexandria.

abc: 9.3715 9.3715 9.3715
angles: 30.70 30.70 30.70
Fractional coordinates of all 8 atoms:
Sr 0.0000 0.0000 0.0000
Li 0.5000 0.5000 0.5000
Er 0.2316 0.2316 0.2316
Er 0.7684 0.7684 0.7684
Au 0.1218 0.1218 0.1218
Au 0.4003 0.4003 0.4003
Au 0.5997 0.5997 0.5997
Au 0.8782 0.8782 0.8782

- Crystal system: trigonal
- Total energy: -31.6 eV per formula unit



First-principles (GGA-PBE) data for crystalline LiTbEr2Au4 at its relaxed geometry, as listed in Alexandria.

abc: 8.6331 8.6331 8.6331
angles: 33.44 33.44 33.44
Fractional coordinates of all 8 atoms:
Li 0.0000 0.0000 0.0000
Tb 0.5000 0.5000 0.5000
Er 0.2565 0.2565 0.2565
Er 0.7435 0.7435 0.7435
Au 0.1252 0.1252 0.1252
Au 0.3777 0.3777 0.3777
Au 0.6223 0.6223 0.6223
Au 0.8748 0.8748 0.8748

- Crystal system: trigonal
- Total energy: -35.1 eV per formula unit



First-principles (GGA-PBE) data for crystalline Li2TbErAu4 at its relaxed geometry, as listed in Alexandria.

abc: 8.2667 8.2667 8.2667
angles: 34.47 34.47 34.47
Fractional coordinates of all 8 atoms:
Li 0.2502 0.2502 0.2502
Li 0.7498 0.7498 0.7498
Tb 0.5000 0.5000 0.5000
Er 0.0000 0.0000 0.0000
Au 0.1267 0.1267 0.1267
Au 0.3712 0.3712 0.3712
Au 0.6288 0.6288 0.6288
Au 0.8733 0.8733 0.8733

- Crystal system: trigonal
- Total energy: -31.9 eV per formula unit



First-principles (GGA-PBE) data for crystalline Li2ErThAu4 at its relaxed geometry, as listed in Alexandria.

abc: 9.4645 9.4645 9.4645
angles: 28.16 28.16 28.16
Fractional coordinates of all 8 atoms:
Li 0.2434 0.2434 0.2434
Li 0.7566 0.7566 0.7566
Er 0.5000 0.5000 0.5000
Th 0.0000 0.0000 0.0000
Au 0.1147 0.1147 0.1147
Au 0.3910 0.3910 0.3910
Au 0.6090 0.6090 0.6090
Au 0.8853 0.8853 0.8853

- Crystal system: trigonal
- Total energy: -34.4 eV per formula unit



First-principles (GGA-PBE) data for crystalline LiEr2ThAu4 at its relaxed geometry, as listed in Alexandria.

abc: 8.9331 8.9331 8.9331
angles: 32.23 32.23 32.23
Fractional coordinates of all 8 atoms:
Li 0.0000 0.0000 0.0000
Er 0.2622 0.2622 0.2622
Er 0.7378 0.7378 0.7378
Th 0.5000 0.5000 0.5000
Au 0.1118 0.1118 0.1118
Au 0.3791 0.3791 0.3791
Au 0.6209 0.6209 0.6209
Au 0.8882 0.8882 0.8882

- Crystal system: trigonal
- Total energy: -37.2 eV per formula unit



First-principles (GGA-PBE) data for crystalline LiErTm2Au4 at its relaxed geometry, as listed in Alexandria.

abc: 8.5895 8.5895 8.5895
angles: 33.37 33.37 33.37
Fractional coordinates of all 8 atoms:
Li 0.0000 0.0000 0.0000
Er 0.5000 0.5000 0.5000
Tm 0.2558 0.2558 0.2558
Tm 0.7442 0.7442 0.7442
Au 0.1274 0.1274 0.1274
Au 0.3776 0.3776 0.3776
Au 0.6224 0.6224 0.6224
Au 0.8726 0.8726 0.8726

- Crystal system: trigonal
- Total energy: -34.9 eV per formula unit



First-principles (GGA-PBE) data for crystalline Li2ErTmAu4 at its relaxed geometry, as listed in Alexandria.

abc: 8.2423 8.2423 8.2423
angles: 34.24 34.24 34.24
Fractional coordinates of all 8 atoms:
Li 0.2499 0.2499 0.2499
Li 0.7501 0.7501 0.7501
Er 0.0000 0.0000 0.0000
Tm 0.5000 0.5000 0.5000
Au 0.1274 0.1274 0.1274
Au 0.3733 0.3733 0.3733
Au 0.6267 0.6267 0.6267
Au 0.8726 0.8726 0.8726

- Crystal system: trigonal
- Total energy: -31.8 eV per formula unit



First-principles (GGA-PBE) data for crystalline LiErTmAu at its relaxed geometry, as listed in Alexandria.

abc: 5.0388 5.0388 5.0388
angles: 60.00 60.00 60.00
Fractional coordinates of all 4 atoms:
Li 0.0000 0.0000 0.0000
Er 0.7500 0.7500 0.7500
Tm 0.2500 0.2500 0.2500
Au 0.5000 0.5000 0.5000

- Crystal system: cubic
- Total energy: -15.9 eV per formula unit



First-principles (GGA-PBE) data for crystalline LiYEr2Au4 at its relaxed geometry, as listed in Alexandria.

abc: 8.6444 8.6444 8.6444
angles: 33.32 33.32 33.32
Fractional coordinates of all 8 atoms:
Li 0.0000 0.0000 0.0000
Y 0.5000 0.5000 0.5000
Er 0.2562 0.2562 0.2562
Er 0.7438 0.7438 0.7438
Au 0.1252 0.1252 0.1252
Au 0.3774 0.3774 0.3774
Au 0.6226 0.6226 0.6226
Au 0.8748 0.8748 0.8748

- Crystal system: trigonal
- Total energy: -36.9 eV per formula unit



First-principles (GGA-PBE) data for crystalline Li2YErAu4 at its relaxed geometry, as listed in Alexandria.

abc: 8.2745 8.2745 8.2745
angles: 34.37 34.37 34.37
Fractional coordinates of all 8 atoms:
Li 0.2501 0.2501 0.2501
Li 0.7499 0.7499 0.7499
Y 0.0000 0.0000 0.0000
Er 0.5000 0.5000 0.5000
Au 0.1287 0.1287 0.1287
Au 0.3736 0.3736 0.3736
Au 0.6264 0.6264 0.6264
Au 0.8713 0.8713 0.8713

- Crystal system: trigonal
- Total energy: -33.7 eV per formula unit



First-principles (GGA-PBE) data for crystalline LiErZn2Au4 at its relaxed geometry, as listed in Alexandria.

abc: 8.4418 8.4418 8.4418
angles: 31.17 31.17 31.17
Fractional coordinates of all 8 atoms:
Li 0.0000 0.0000 0.0000
Er 0.5000 0.5000 0.5000
Zn 0.2549 0.2549 0.2549
Zn 0.7451 0.7451 0.7451
Au 0.1083 0.1083 0.1083
Au 0.3714 0.3714 0.3714
Au 0.6286 0.6286 0.6286
Au 0.8917 0.8917 0.8917

- Crystal system: trigonal
- Total energy: -26.4 eV per formula unit



First-principles (GGA-PBE) data for crystalline LiErZnAu at its relaxed geometry, as listed in Alexandria.

abc: 4.7881 4.7881 4.7881
angles: 60.00 60.00 60.00
Fractional coordinates of all 4 atoms:
Li 0.0000 0.0000 0.0000
Er 0.5000 0.5000 0.5000
Zn 0.7500 0.7500 0.7500
Au 0.2500 0.2500 0.2500

- Crystal system: cubic
- Total energy: -12.9 eV per formula unit



First-principles (GGA-PBE) data for crystalline Li2ErZn2Au2 at its relaxed geometry, as listed in Alexandria.

abc: 4.5160 4.5160 7.7022
angles: 107.12 107.12 59.79
Fractional coordinates of all 7 atoms:
Li 0.1418 0.1418 0.4245
Li 0.8582 0.8582 0.5755
Er 0.0000 0.0000 0.0000
Zn 0.4228 0.4228 0.2658
Zn 0.5772 0.5772 0.7342
Au 0.2607 0.2607 0.7828
Au 0.7393 0.7393 0.2172

- Crystal system: monoclinic
- Total energy: -21.1 eV per formula unit



First-principles (GGA-PBE) data for crystalline LiErZnAu at its relaxed geometry, as listed in Alexandria.

abc: 4.9762 4.9762 4.9762
angles: 126.40 126.40 79.23
Fractional coordinates of all 4 atoms:
Li 0.0000 0.0000 0.0000
Er 0.5000 0.5000 0.0000
Zn 0.2500 0.7500 0.5000
Au 0.7500 0.2500 0.5000

- Crystal system: tetragonal
- Total energy: -12.9 eV per formula unit